# 1
A relaxed structure of Zn2CuSe, computed with GGA-PBE.

As for the uncorrected formation energy: -2 kJ per mole of atoms. Its spin magnetization is 0.00 Bohr magnetons per cell. The space group is Cm (8).

abc: 4.172 4.172 5.744
angles: 99.43 99.43 51.87
Fractional positions:
Zn 0.000 0.000 0.000
Zn 0.676 0.676 0.801
Cu 0.323 0.323 0.184
Se 0.646 0.646 0.366

# 2
A relaxed structure of Pm6Zn2Ir, computed with GGA-PBE.

Its spin magnetization is 0.00 Bohr magnetons per cell. The space group is C2/m (12). Its energy of formation from the pure elements is -132 kJ/mol of formula units.

abc: 8.668 8.668 5.108
angles: 107.05 107.05 48.08
Fractional positions:
Pm 0.087 0.595 0.341
Pm 0.242 0.758 0.000
Pm 0.405 0.913 0.659
Pm 0.595 0.087 0.341
Pm 0.758 0.242 0.000
Pm 0.913 0.405 0.659
Zn 0.333 0.333 0.834
Zn 0.667 0.667 0.166
Ir 0.000 0.000 0.500

# 3
A relaxed structure of SrHg2HPd2, computed with GGA-PBE.

Its spin magnetization is 0.00 Bohr magnetons per cell. The space group is I4/mmm (139). Its total energy is -3.004 eV/atom.

abc: 7.665 7.665 7.665
angles: 147.71 147.71 46.31
Fractional positions:
Sr 0.000 0.000 0.000
Hg 0.250 0.750 0.500
Hg 0.750 0.250 0.500
H 0.500 0.500 0.000
Pd 0.381 0.381 0.000
Pd 0.619 0.619 0.000

# 4
A relaxed structure of InIrCl6, computed with GGA-PBE.

As for the uncorrected formation energy: -67 kJ per mole of atoms. Its spin magnetization is 0.00 Bohr magnetons per cell. The space group is C2/m (12).

abc: 6.712 6.712 6.222
angles: 98.24 98.24 124.74
Fractional positions:
In 0.000 0.000 0.000
Ir 0.500 0.500 0.500
Cl 0.131 0.405 0.267
Cl 0.263 0.263 0.736
Cl 0.405 0.131 0.267
Cl 0.595 0.869 0.733
Cl 0.737 0.737 0.264
Cl 0.869 0.595 0.733

# 5
A relaxed structure of Ba5Hg, computed with GGA-PBE.

Its spin magnetization is 0.00 Bohr magnetons per cell. The space group is P6/mmm (191). Its energy of formation from the pure elements is 185 kJ/mol of formula units. For the distance to the lowest polymorph of the same formula, the calculation gives 0.481 eV/atom.

abc: 7.829 7.829 7.458
angles: 90.00 90.00 120.00
Fractional positions:
Ba 0.000 0.500 0.000
Ba 0.333 0.667 0.500
Ba 0.500 0.000 0.000
Ba 0.500 0.500 0.000
Ba 0.667 0.333 0.500
Hg 0.000 0.000 0.500

# 6
A relaxed structure of CsZn2BSb, computed with GGA-PBE.

As for the uncorrected formation energy: 78 kJ per mole of atoms. Its spin magnetization is 0.00 Bohr magnetons per cell. The space group is P4/mmm (123).

abc: 4.569 4.569 5.875
angles: 90.00 90.00 90.00
Fractional positions:
Cs 0.000 0.000 0.000
Zn 0.000 0.500 0.500
Zn 0.500 0.000 0.500
B 0.000 0.000 0.500
Sb 0.500 0.500 0.000

# 7
A relaxed structure of BIrPt, computed with GGA-PBE.

Its spin magnetization is 0.00 Bohr magnetons per cell. The space group is F-43m (216). Its energy of formation from the pure elements is -18 kJ/mol of formula units.

abc: 3.803 3.803 3.803
angles: 60.00 60.00 60.00
Fractional positions:
B 0.000 0.000 0.000
Ir 0.750 0.750 0.750
Pt 0.250 0.250 0.250

# 8
A relaxed structure of Dy2HoSc, computed with GGA-PBE.

Its spin magnetization is 0.00 Bohr magnetons per cell. The space group is P-1 (2). Its energy of formation from the pure elements is 16 kJ/mol of formula units. For the distance to the lowest polymorph of the same formula, the calculation gives 0.011 eV/atom.

abc: 5.987 6.925 6.930
angles: 60.22 73.65 73.49
Fractional positions:
Dy 0.250 0.123 0.127
Dy 0.250 0.626 0.624
Dy 0.750 0.374 0.376
Dy 0.750 0.877 0.873
Ho 0.246 0.626 0.126
Ho 0.754 0.374 0.874
Sc 0.255 0.124 0.623
Sc 0.745 0.876 0.377

# 9
A relaxed structure of LaPrSe3, computed with GGA-PBE.

As for the uncorrected formation energy: -186 kJ per mole of atoms. Its spin magnetization is 0.00 Bohr magnetons per cell. The space group is Pmmn (59). For the distance to the lowest polymorph of the same formula, the calculation gives 0.000 eV/atom.

abc: 4.267 7.280 9.332
angles: 90.00 90.00 90.00
Fractional positions:
La 0.250 0.250 0.148
La 0.750 0.750 0.852
Pr 0.250 0.750 0.399
Pr 0.750 0.250 0.601
Se 0.250 0.522 0.672
Se 0.250 0.750 0.067
Se 0.250 0.978 0.672
Se 0.750 0.022 0.328
Se 0.750 0.250 0.933
Se 0.750 0.478 0.328

# 10
A relaxed structure of Tb2Nd5Y3, computed with GGA-PBE.

Its spin magnetization is 0.00 Bohr magnetons per cell. The space group is Ibam (72). Its energy of formation from the pure elements is 269 kJ/mol of formula units. For the distance to the lowest polymorph of the same formula, the calculation gives 0.099 eV/atom.

abc: 11.089 11.089 11.089
angles: 112.87 77.45 145.95
Fractional positions:
Tb 0.168 0.087 0.256
Tb 0.332 0.587 0.919
Tb 0.668 0.413 0.081
Tb 0.832 0.913 0.744
Nd 0.171 0.751 0.922
Nd 0.250 0.002 0.752
Nd 0.250 0.498 0.248
Nd 0.250 0.750 0.500
Nd 0.329 0.251 0.580
Nd 0.671 0.749 0.420
Nd 0.750 0.250 0.500
Nd 0.750 0.502 0.752
Nd 0.750 0.998 0.248
Nd 0.829 0.249 0.078
Y 0.168 0.412 0.581
Y 0.250 0.250 0.000
Y 0.332 0.912 0.244
Y 0.668 0.088 0.756
Y 0.750 0.750 0.000
Y 0.832 0.588 0.419

# 11
A relaxed structure of CdHg2, computed with GGA-PBE.

Its spin magnetization is 0.00 Bohr magnetons per cell. The space group is I4_1/amd (141). Its energy of formation from the pure elements is 9 kJ/mol of formula units. For the distance to the lowest polymorph of the same formula, the calculation gives 0.016 eV/atom.

abc: 13.632 13.632 13.632
angles: 165.82 165.82 20.10
Fractional positions:
Cd 0.375 0.625 0.750
Cd 0.625 0.375 0.250
Hg 0.047 0.797 0.250
Hg 0.203 0.953 0.250
Hg 0.797 0.047 0.750
Hg 0.953 0.203 0.750

# 12
A relaxed structure of LiTb2Cd, computed with GGA-PBE.

Its spin magnetization is 0.00 Bohr magnetons per cell. The space group is R-3m (166). Its energy of formation from the pure elements is 47 kJ/mol of formula units. For the distance to the lowest polymorph of the same formula, the calculation gives 0.243 eV/atom.

abc: 11.845 11.845 11.845
angles: 16.53 16.53 16.53
Fractional positions:
Li 0.000 0.000 0.000
Tb 0.093 0.093 0.093
Tb 0.907 0.907 0.907
Cd 0.500 0.500 0.500

# 13
A relaxed structure of Ti6BrCl12, computed with GGA-PBE.

As for the uncorrected formation energy: -120 kJ per mole of atoms. Its spin magnetization is 5.63 Bohr magnetons per cell. The space group is R-3m (166).

abc: 8.023 8.023 8.023
angles: 96.54 96.54 96.54
Fractional positions:
Ti 0.124 0.360 0.360
Ti 0.360 0.124 0.360
Ti 0.360 0.360 0.124
Ti 0.640 0.640 0.876
Ti 0.640 0.876 0.640
Ti 0.876 0.640 0.640
Br 0.500 0.500 0.500
Cl 0.000 0.369 0.631
Cl 0.000 0.631 0.369
Cl 0.063 0.063 0.332
Cl 0.063 0.332 0.063
Cl 0.332 0.063 0.063
Cl 0.369 0.000 0.631
Cl 0.369 0.631 0.000
Cl 0.631 0.000 0.369
Cl 0.631 0.369 0.000
Cl 0.668 0.937 0.937
Cl 0.937 0.668 0.937
Cl 0.937 0.937 0.668

# 14
A relaxed structure of YSi3Ru2, computed with GGA-PBE.

As for the uncorrected formation energy: -68 kJ per mole of atoms. Its spin magnetization is 0.00 Bohr magnetons per cell. The space group is Cmcm (63).

abc: 5.943 5.943 5.608
angles: 90.00 90.00 77.66
Fractional positions:
Y 0.160 0.840 0.750
Y 0.840 0.160 0.250
Si 0.043 0.619 0.250
Si 0.381 0.957 0.250
Si 0.450 0.550 0.250
Si 0.550 0.450 0.750
Si 0.619 0.043 0.750
Si 0.957 0.381 0.750
Ru 0.291 0.291 0.000
Ru 0.291 0.291 0.500
Ru 0.709 0.709 0.000
Ru 0.709 0.709 0.500

# 15
A relaxed structure of Er2Mg3Zn, computed with GGA-PBE.

Its spin magnetization is 0.00 Bohr magnetons per cell. The space group is Pmm2 (25). Its energy of formation from the pure elements is -57 kJ/mol of formula units.

abc: 3.317 5.008 8.693
angles: 90.00 90.00 90.00
Fractional positions:
Er 0.000 0.000 0.000
Er 0.000 0.500 0.470
Mg 0.500 0.000 0.644
Mg 0.500 0.500 0.154
Mg 0.500 0.500 0.815
Zn 0.500 0.000 0.319

# 16
A relaxed structure of B5C7, computed with GGA-PBE.

Its spin magnetization is 0.00 Bohr magnetons per cell. The space group is Cm (8). Its energy of formation from the pure elements is 447 kJ/mol of formula units. For the distance to the lowest polymorph of the same formula, the calculation gives 0.128 eV/atom.

abc: 6.031 6.031 5.258
angles: 103.16 103.16 24.90
Fractional positions:
B 0.000 0.000 0.000
B 0.000 0.000 0.421
B 0.304 0.304 0.612
B 0.651 0.651 0.287
B 0.908 0.908 0.666
C 0.231 0.231 0.833
C 0.239 0.239 0.316
C 0.314 0.314 0.114
C 0.571 0.571 0.982
C 0.574 0.574 0.510
C 0.650 0.650 0.791
C 0.893 0.893 0.154

# 17
A relaxed structure of Y4InPt, computed with GGA-PBE.

Its spin magnetization is 0.00 Bohr magnetons per cell. The space group is F-43m (216). Its energy of formation from the pure elements is -397 kJ/mol of formula units. For the distance to the lowest polymorph of the same formula, the calculation gives 0.000 eV/atom.

abc: 9.751 9.751 9.751
angles: 60.00 60.00 60.00
Fractional positions:
Y 0.060 0.060 0.440
Y 0.060 0.440 0.060
Y 0.060 0.440 0.440
Y 0.188 0.188 0.812
Y 0.188 0.812 0.188
Y 0.188 0.812 0.812
Y 0.195 0.602 0.602
Y 0.440 0.060 0.060
Y 0.440 0.060 0.440
Y 0.440 0.440 0.060
Y 0.602 0.195 0.602
Y 0.602 0.602 0.195
Y 0.602 0.602 0.602
Y 0.812 0.188 0.188
Y 0.812 0.188 0.812
Y 0.812 0.812 0.188
In 0.499 0.834 0.834
In 0.834 0.499 0.834
In 0.834 0.834 0.499
In 0.834 0.834 0.834
Pt 0.393 0.393 0.393
Pt 0.393 0.393 0.821
Pt 0.393 0.821 0.393
Pt 0.821 0.393 0.393

# 18
A relaxed structure of AlPtSe2, computed with GGA-PBE.

As for the uncorrected formation energy: 0 kJ per mole of atoms. Its spin magnetization is 0.00 Bohr magnetons per cell. The space group is Cmmm (65).

abc: 4.080 4.080 7.105
angles: 90.00 90.00 127.57
Fractional positions:
Al 0.000 0.000 0.000
Pt 0.000 0.000 0.500
Se 0.500 0.500 0.259
Se 0.500 0.500 0.741

# 19
A relaxed structure of Ti2SnH3, computed with GGA-PBE.

Its spin magnetization is 0.00 Bohr magnetons per cell. The space group is C2/m (12). Its total energy is -5.302 eV/atom.

abc: 6.402 6.402 6.909
angles: 109.24 109.24 28.43
Fractional positions:
Ti 0.027 0.027 0.266
Ti 0.313 0.313 0.355
Ti 0.687 0.687 0.645
Ti 0.973 0.973 0.734
Sn 0.356 0.356 0.958
Sn 0.644 0.644 0.042
H 0.098 0.098 0.636
H 0.186 0.186 0.458
H 0.441 0.441 0.592
H 0.559 0.559 0.408
H 0.814 0.814 0.542
H 0.902 0.902 0.364

# 20
A relaxed structure of ThZnP2Rh7, computed with GGA-PBE.

Its spin magnetization is 0.00 Bohr magnetons per cell. The space group is I-4m2 (119). Its energy of formation from the pure elements is -421 kJ/mol of formula units.

abc: 9.341 9.341 9.341
angles: 152.30 152.30 39.58
Fractional positions:
Th 0.000 0.000 0.000
Zn 0.750 0.250 0.500
P 0.347 0.347 0.000
P 0.653 0.653 0.000
Rh 0.116 0.616 0.500
Rh 0.217 0.217 0.000
Rh 0.384 0.884 0.500
Rh 0.500 0.500 0.000
Rh 0.607 0.107 0.500
Rh 0.783 0.783 0.000
Rh 0.893 0.393 0.500